(1)
# K2Ba2Ca GGA-PBE optimized geometry
# ΔE_f ... 225 meV/atom
# Crystal system ... tetragonal
# Final energy ... -1.3839 eV/atom
# Calculated density ... 2.03 Mg/m³
# Relative energy among the computed polymorphs ... 0.000 eV per atom
data_K2Ba2Ca
_space_group_name_H-M_alt 'P 1'
_space_group_IT_number 1
_cell_length_a 5.226
_cell_length_b 5.226
_cell_length_c 23.562
_cell_angle_alpha 90.00
_cell_angle_beta 90.00
_cell_angle_gamma 90.00
loop_
_space_group_symop_operation_xyz
'x,y,z'
loop_
_atom_site_label
_atom_site_type_symbol
_atom_site_fract_x
_atom_site_fract_y
_atom_site_fract_z
K1 K 0.000 0.500 0.250
K2 K 0.000 0.500 0.750
K3 K 0.500 0.000 0.250
K4 K 0.500 0.000 0.750
Ba1 Ba 0.000 0.000 0.088
Ba2 Ba 0.000 0.000 0.912
Ba3 Ba 0.500 0.500 0.412
Ba4 Ba 0.500 0.500 0.588
Ca1 Ca 0.000 0.000 0.500
Ca2 Ca 0.500 0.500 0.000

---

(2)
# Tb2Dy2Cd GGA-PBE optimized geometry
# ΔE_f ... 63 meV/atom
# Crystal system ... tetragonal
# Final energy ... -3.8134 eV/atom
# Calculated density ... 7.78 Mg/m³
# Relative energy among the computed polymorphs ... 0.175 eV per atom
data_Tb2Dy2Cd
_space_group_name_H-M_alt 'P 1'
_space_group_IT_number 1
_cell_length_a 13.126
_cell_length_b 13.126
_cell_length_c 13.126
_cell_angle_alpha 157.80
_cell_angle_beta 157.80
_cell_angle_gamma 31.60
loop_
_space_group_symop_operation_xyz
'x,y,z'
loop_
_atom_site_label
_atom_site_type_symbol
_atom_site_fract_x
_atom_site_fract_y
_atom_site_fract_z
Tb1 Tb 0.052 0.302 0.750
Tb2 Tb 0.302 0.052 0.250
Tb3 Tb 0.698 0.948 0.750
Tb4 Tb 0.948 0.698 0.250
Dy1 Dy 0.203 0.453 0.750
Dy2 Dy 0.453 0.203 0.250
Dy3 Dy 0.547 0.797 0.750
Dy4 Dy 0.797 0.547 0.250
Cd1 Cd 0.375 0.625 0.750
Cd2 Cd 0.625 0.375 0.250

---

(3)
# KLiLa2 GGA-PBE optimized geometry
# ΔE_f ... 400 meV/atom
# Crystal system ... orthorhombic
# Final energy ... -2.8162 eV/atom
# Calculated density ... 3.47 Mg/m³
# Relative energy among the computed polymorphs ... 0.237 eV per atom
data_KLiLa2
_space_group_name_H-M_alt 'P 1'
_space_group_IT_number 1
_cell_length_a 6.836
_cell_length_b 12.967
_cell_length_c 3.495
_cell_angle_alpha 90.00
_cell_angle_beta 90.00
_cell_angle_gamma 90.00
loop_
_space_group_symop_operation_xyz
'x,y,z'
loop_
_atom_site_label
_atom_site_type_symbol
_atom_site_fract_x
_atom_site_fract_y
_atom_site_fract_z
K1 K 0.000 0.000 0.000
K2 K 0.500 0.500 0.000
Li1 Li 0.000 0.500 0.000
Li2 Li 0.500 0.000 0.000
La1 La 0.250 0.250 0.500
La2 La 0.250 0.750 0.500
La3 La 0.750 0.250 0.500
La4 La 0.750 0.750 0.500

---

(4)
# Li3CaSb3 GGA-PBE optimized geometry
# Crystal system ... cubic
# Final energy ... -2.9623 eV/atom
# Calculated density ... 3.66 Mg/m³
# Formation energy (no corrections) ... -0.63 eV/f.u.
data_Li3CaSb3
_space_group_name_H-M_alt 'P 1'
_space_group_IT_number 1
_cell_length_a 7.283
_cell_length_b 7.283
_cell_length_c 7.283
_cell_angle_alpha 90.00
_cell_angle_beta 90.00
_cell_angle_gamma 90.00
loop_
_space_group_symop_operation_xyz
'x,y,z'
loop_
_atom_site_label
_atom_site_type_symbol
_atom_site_fract_x
_atom_site_fract_y
_atom_site_fract_z
Li1 Li 0.000 0.250 0.500
Li2 Li 0.000 0.750 0.500
Li3 Li 0.250 0.500 0.000
Li4 Li 0.500 0.000 0.250
Li5 Li 0.500 0.000 0.750
Li6 Li 0.750 0.500 0.000
Ca1 Ca 0.000 0.000 0.000
Ca2 Ca 0.500 0.500 0.500
Sb1 Sb 0.000 0.500 0.250
Sb2 Sb 0.000 0.500 0.750
Sb3 Sb 0.250 0.000 0.500
Sb4 Sb 0.500 0.250 0.000
Sb5 Sb 0.500 0.750 0.000
Sb6 Sb 0.750 0.000 0.500